First-principles (PBE-GGA) data for a relaxed structure of CsLiCaAg2, as listed in Alexandria.

Cell: 5.761 5.761 7.034 Å, 90.00 90.00 90.00°
Fractional positions:
1 Cs 0.000 0.000 0.000
2 Li 0.500 0.500 0.000
3 Ca 0.000 0.000 0.500
4 Ag 0.000 0.500 0.500
5 Ag 0.500 0.000 0.500

Properties
- theoretical density (Mg/m³) = 2.81
- DFT formation energy (eV per atom) = 0.574
- total energy (eV/cell) = -7.60

First-principles (PBE-GGA) data for a relaxed structure of Li2Fe2Ge2H, as listed in Alexandria.

Cell: 3.661 3.661 13.286 Å, 90.00 90.00 90.00°
Fractional positions:
1 Li 0.000 0.000 0.171
2 Li 0.000 0.000 0.829
3 Li 0.500 0.500 0.329
4 Li 0.500 0.500 0.671
5 Fe 0.000 0.500 0.000
6 Fe 0.000 0.500 0.500
7 Fe 0.500 0.000 0.000
8 Fe 0.500 0.000 0.500
9 Ge 0.000 0.000 0.374
10 Ge 0.000 0.000 0.626
11 Ge 0.500 0.500 0.126
12 Ge 0.500 0.500 0.874
13 H 0.000 0.000 0.000
14 H 0.500 0.500 0.500

Properties
- theoretical density (Mg/m³) = 5.07
- total energy (eV/cell) = -69.32